Record 1
# La2FeTc (PBE, optimized geometry)
# E_tot = -0.485 Ry/atom
# Offset from the most stable computed form = 2.029 eV/f.u.
# ΔH_f (0 K) = 55 kJ per mole of atoms
data_La2FeTc
_chemical_formula_sum 'La6 Fe3 Tc3'
_cell_length_a 3.5860
_cell_length_b 3.5860
_cell_length_c 25.3793
_cell_angle_alpha 90.00
_cell_angle_beta 90.00
_cell_angle_gamma 120.00
_space_group_name_H-M_alt 'R -3 m'
_space_group_IT_number 166
_space_group_name_Hall '-R 3 2"'
loop_
_atom_site_label
_atom_site_type_symbol
_atom_site_fract_x
_atom_site_fract_y
_atom_site_fract_z
La1 La 0.0000 0.0000 0.2500
Fe1 Fe 0.0000 0.0000 0.0000
Tc1 Tc 0.0000 0.0000 0.5000


Record 2
# La6Tl2Ni (PBE, optimized geometry)
# E_tot = -0.349 Ry/atom
# Offset from the most stable computed form = 0.000 eV/f.u.
# ΔH_f (0 K) = -28 kJ per mole of atoms
data_La6Tl2Ni
_chemical_formula_sum 'La6 Tl2 Ni1'
_cell_length_a 9.1220
_cell_length_b 9.1220
_cell_length_c 3.9147
_cell_angle_alpha 90.00
_cell_angle_beta 90.00
_cell_angle_gamma 120.00
_space_group_name_H-M_alt 'P -6 2 m'
_space_group_IT_number 189
_space_group_name_Hall 'P -6 -2'
loop_
_atom_site_label
_atom_site_type_symbol
_atom_site_fract_x
_atom_site_fract_y
_atom_site_fract_z
La1 La 0.0000 0.2332 0.0000
La2 La 0.0000 0.5971 0.5000
Tl1 Tl 0.3333 0.6667 0.0000
Ni1 Ni 0.0000 0.0000 0.5000


Record 3
# BeTlBr2 (PBE, optimized geometry)
# E_tot = -0.199 Ry/atom
# Offset from the most stable computed form = 0.514 eV/f.u.
# Formation energy from raw total energies = -33.25 kJ per mole of atoms
data_BeTlBr2
_chemical_formula_sum 'Be2 Tl2 Br4'
_cell_length_a 3.3706
_cell_length_b 6.3601
_cell_length_c 10.7226
_cell_angle_alpha 90.00
_cell_angle_beta 90.00
_cell_angle_gamma 90.00
_space_group_name_H-M_alt 'I m m m'
_space_group_IT_number 71
_space_group_name_Hall '-I 2 2'
loop_
_atom_site_label
_atom_site_type_symbol
_atom_site_fract_x
_atom_site_fract_y
_atom_site_fract_z
Be1 Be 0.0000 0.0000 0.0000
Tl1 Tl 0.0000 0.0000 0.5000
Br1 Br 0.0000 0.5000 0.3510


Record 4
# SmDy3H8 (PBE, optimized geometry)
# E_tot = -0.330 Ry/atom
data_SmDy3H8
_chemical_formula_sum 'Sm1 Dy3 H8'
_cell_length_a 5.2249
_cell_length_b 5.2249
_cell_length_c 5.2249
_cell_angle_alpha 90.00
_cell_angle_beta 90.00
_cell_angle_gamma 90.00
_space_group_name_H-M_alt 'P m -3 m'
_space_group_IT_number 221
_space_group_name_Hall '-P 4 2 3'
loop_
_atom_site_label
_atom_site_type_symbol
_atom_site_fract_x
_atom_site_fract_y
_atom_site_fract_z
Sm1 Sm 0.0000 0.0000 0.0000
Dy1 Dy 0.0000 0.5000 0.5000
H1 H 0.2549 0.2549 0.2549


Record 5
# Ti3PtC (PBE, optimized geometry)
# E_tot = -0.590 Ry/atom
# Offset from the most stable computed form = 2.905 eV/f.u.
# ΔH_f (0 K) = -24 kJ per mole of atoms
data_Ti3PtC
_chemical_formula_sum 'Ti6 Pt2 C2'
_cell_length_a 2.9798
_cell_length_b 7.8898
_cell_length_c 6.6978
_cell_angle_alpha 90.00
_cell_angle_beta 90.00
_cell_angle_gamma 90.00
_space_group_name_H-M_alt 'A m m 2'
_space_group_IT_number 38
loop_
_space_group_symop_operation_xyz
'x,y,z'
'-x,-y,z'
'-x,y,z'
'x,-y,z'
'x,y+1/2,z+1/2'
'-x,-y+1/2,z+1/2'
'-x,y+1/2,z+1/2'
'x,-y+1/2,z+1/2'
loop_
_atom_site_label
_atom_site_type_symbol
_atom_site_fract_x
_atom_site_fract_y
_atom_site_fract_z
Ti1 Ti 0.0000 0.0000 0.0000
Ti2 Ti 0.5000 0.1813 0.3196
Pt1 Pt 0.5000 0.0000 0.6937
C1 C 0.0000 0.0000 0.3259


Record 6
# Li2AcPdN (PBE, optimized geometry)
# E_tot = -0.353 Ry/atom
# Formation energy from raw total energies = -49.10 kJ per mole of atoms
data_Li2AcPdN
_chemical_formula_sum 'Li8 Ac4 Pd4 N4'
_cell_length_a 6.0529
_cell_length_b 6.0529
_cell_length_c 10.2220
_cell_angle_alpha 90.00
_cell_angle_beta 90.00
_cell_angle_gamma 90.00
_space_group_name_H-M_alt 'I 4 c m'
_space_group_IT_number 108
_space_group_name_Hall 'I 4 -2c'
loop_
_atom_site_label
_atom_site_type_symbol
_atom_site_fract_x
_atom_site_fract_y
_atom_site_fract_z
Li1 Li 0.2144 0.2856 0.0000
Ac1 Ac 0.0000 0.0000 0.2502
Pd1 Pd 0.0000 0.5000 0.2524
N1 N 0.0000 0.0000 0.0003


Record 7
# BaLaGeAu (PBE, optimized geometry)
# E_tot = -0.317 Ry/atom
# ΔH_f (0 K) = -61 kJ per mole of atoms
data_BaLaGeAu
_chemical_formula_sum 'Ba4 La4 Ge4 Au4'
_cell_length_a 7.8107
_cell_length_b 7.8107
_cell_length_c 7.8107
_cell_angle_alpha 90.00
_cell_angle_beta 90.00
_cell_angle_gamma 90.00
_space_group_name_H-M_alt 'F -4 3 m'
_space_group_IT_number 216
_space_group_name_Hall 'F -4 2 3'
loop_
_atom_site_label
_atom_site_type_symbol
_atom_site_fract_x
_atom_site_fract_y
_atom_site_fract_z
Ba1 Ba 0.0000 0.0000 0.0000
La1 La 0.0000 0.0000 0.5000
Ge1 Ge 0.2500 0.2500 0.7500
Au1 Au 0.2500 0.2500 0.2500


Record 8
# Tb6TlPd2 (PBE, optimized geometry)
# E_tot = -0.368 Ry/atom
# ΔH_f (0 K) = -48 kJ per mole of atoms
data_Tb6TlPd2
_chemical_formula_sum 'Tb24 Tl4 Pd8'
_cell_length_a 9.4923
_cell_length_b 9.9010
_cell_length_c 10.4821
_cell_angle_alpha 90.00
_cell_angle_beta 90.00
_cell_angle_gamma 90.00
_space_group_name_H-M_alt 'I m m m'
_space_group_IT_number 71
_space_group_name_Hall '-I 2 2'
loop_
_atom_site_label
_atom_site_type_symbol
_atom_site_fract_x
_atom_site_fract_y
_atom_site_fract_z
Tb1 Tb 0.0000 0.1998 0.2362
Tb2 Tb 0.1984 0.5000 0.1733
Tb3 Tb 0.2095 0.3168 0.5000
Tl1 Tl 0.0000 0.0000 0.0000
Tl2 Tl 0.0000 0.0000 0.5000
Pd1 Pd 0.0000 0.3474 0.0000
Pd2 Pd 0.0000 0.5000 0.3678


Record 9
# AlZnTe (PBE, optimized geometry)
# E_tot = -0.196 Ry/atom
# Offset from the most stable computed form = 0.258 eV/f.u.
# Formation energy from raw total energies = 5.12 kJ per mole of atoms
data_AlZnTe
_chemical_formula_sum 'Al2 Zn2 Te2'
_cell_length_a 3.9892
_cell_length_b 3.9892
_cell_length_c 10.0279
_cell_angle_alpha 90.00
_cell_angle_beta 90.00
_cell_angle_gamma 120.00
_space_group_name_H-M_alt 'P -6 m 2'
_space_group_IT_number 187
_space_group_name_Hall 'P -6 2'
loop_
_atom_site_label
_atom_site_type_symbol
_atom_site_fract_x
_atom_site_fract_y
_atom_site_fract_z
Al1 Al 0.0000 0.0000 0.0000
Al2 Al 0.0000 0.0000 0.5000
Zn1 Zn 0.6667 0.3333 0.1453
Te1 Te 0.3333 0.6667 0.3196


Record 10
# LiScSb2 (PBE, optimized geometry)
# E_tot = -0.342 Ry/atom
# Offset from the most stable computed form = 0.393 eV/f.u.
# Formation energy from raw total energies = -51.27 kJ per mole of atoms
data_LiScSb2
_chemical_formula_sum 'Li2 Sc2 Sb4'
_cell_length_a 8.5826
_cell_length_b 4.2463
_cell_length_c 5.5055
_cell_angle_alpha 90.00
_cell_angle_beta 110.99
_cell_angle_gamma 90.00
_space_group_name_H-M_alt 'C 1 2/m 1'
_space_group_IT_number 12
loop_
_space_group_symop_operation_xyz
'x,y,z'
'-x,-y,-z'
'-x,y,-z'
'x,-y,z'
'x+1/2,y+1/2,z'
'-x+1/2,-y+1/2,-z'
'-x+1/2,y+1/2,-z'
'x+1/2,-y+1/2,z'
loop_
_atom_site_label
_atom_site_type_symbol
_atom_site_fract_x
_atom_site_fract_y
_atom_site_fract_z
Li1 Li 0.0000 0.0000 0.0000
Sc1 Sc 0.0000 0.5000 0.5000
Sb1 Sb 0.2494 0.5000 0.2398


Record 11
# Er3Cu3Ni2 (PBE, optimized geometry)
# E_tot = -0.371 Ry/atom
# ΔH_f (0 K) = -34 kJ per mole of atoms
data_Er3Cu3Ni2
_chemical_formula_sum 'Er12 Cu12 Ni8'
_cell_length_a 7.1125
_cell_length_b 15.4061
_cell_length_c 5.2036
_cell_angle_alpha 90.00
_cell_angle_beta 90.00
_cell_angle_gamma 90.00
_space_group_name_H-M_alt 'P n m a'
_space_group_IT_number 62
loop_
_space_group_symop_operation_xyz
'x,y,z'
'-x,-y,-z'
'-x+1/2,-y,z+1/2'
'x+1/2,y,-z+1/2'
'x+1/2,-y+1/2,-z+1/2'
'-x+1/2,y+1/2,z+1/2'
'-x,y+1/2,-z'
'x,-y+1/2,z'
loop_
_atom_site_label
_atom_site_type_symbol
_atom_site_fract_x
_atom_site_fract_y
_atom_site_fract_z
Er1 Er 0.0332 0.1056 0.1225
Er2 Er 0.1686 0.2500 0.6338
Cu1 Cu 0.1744 0.0304 0.5957
Cu2 Cu 0.1811 0.7500 0.6289
Ni1 Ni 0.1187 0.6143 0.3732


Record 12
# Ca2Pr6Nd5 (PBE, optimized geometry)
# E_tot = -0.311 Ry/atom
# ΔH_f (0 K) = 11 kJ per mole of atoms
data_Ca2Pr6Nd5
_chemical_formula_sum 'Ca4 Pr12 Nd10'
_cell_length_a 12.3270
_cell_length_b 21.1461
_cell_length_c 3.6626
_cell_angle_alpha 90.00
_cell_angle_beta 90.00
_cell_angle_gamma 90.00
_space_group_name_H-M_alt 'P b a m'
_space_group_IT_number 55
loop_
_space_group_symop_operation_xyz
'x,y,z'
'-x,-y,-z'
'-x,-y,z'
'x,y,-z'
'x+1/2,-y+1/2,-z'
'-x+1/2,y+1/2,z'
'-x+1/2,y+1/2,-z'
'x+1/2,-y+1/2,z'
loop_
_atom_site_label
_atom_site_type_symbol
_atom_site_fract_x
_atom_site_fract_y
_atom_site_fract_z
Ca1 Ca 0.1656 0.2153 0.0000
Pr1 Pr 0.0515 0.9229 0.0000
Pr2 Pr 0.0708 0.6381 0.0000
Pr3 Pr 0.1871 0.3778 0.5000
Nd1 Nd 0.0000 0.5000 0.5000
Nd2 Nd 0.0940 0.7800 0.5000
Nd3 Nd 0.2088 0.0522 0.5000